[1]
! RbSnBr3 (GGA-PBE, relaxed); values from VASP
! energy relative to the elements, uncorrected = -1.185 eV per atom
&SYSTEM
  ibrav = 0, nat = 20, ntyp = 3
/
ATOMIC_SPECIES
Br 79.90 Br.upf
Sn 118.71 Sn.upf
Rb 85.47 Rb.upf
ATOMIC_POSITIONS crystal
Br 0.250 0.163 0.502
Sn 0.750 0.337 0.437
Br 0.250 0.302 0.790
Rb 0.750 0.088 0.671
Rb 0.250 0.912 0.329
Br 0.750 0.698 0.210
Br 0.250 0.522 0.381
Br 0.750 0.478 0.619
Br 0.750 0.337 0.002
Rb 0.750 0.588 0.829
Rb 0.250 0.412 0.171
Sn 0.750 0.837 0.063
Br 0.250 0.802 0.710
Br 0.750 0.198 0.290
Br 0.250 0.663 0.998
Sn 0.250 0.163 0.937
Br 0.250 0.022 0.119
Sn 0.250 0.663 0.563
Br 0.750 0.978 0.881
Br 0.750 0.837 0.498
CELL_PARAMETERS angstrom
4.561 0.000 0.000
0.000 9.722 0.000
0.000 0.000 16.555

[2]
! Rb2Sn2Br (GGA-PBE, relaxed); values from VASP
! energy relative to the elements, uncorrected = -0.704 eV per atom
&SYSTEM
  ibrav = 0, nat = 5, ntyp = 3
/
ATOMIC_SPECIES
Rb 85.47 Rb.upf
Sn 118.71 Sn.upf
Br 79.90 Br.upf
ATOMIC_POSITIONS crystal
Rb 0.406 0.406 0.189
Rb 0.594 0.594 0.811
Sn 0.250 0.750 0.500
Br 0.000 0.000 0.000
Sn 0.750 0.250 0.500
CELL_PARAMETERS angstrom
-1.816 -3.659 1.342
3.272 -2.236 -1.669
5.924 -2.170 8.983

[3]
! RbSnBr3 (GGA-PBE, relaxed); values from VASP
! energy relative to the elements, uncorrected = -1.160 eV per atom
&SYSTEM
  ibrav = 0, nat = 10, ntyp = 3
/
ATOMIC_SPECIES
Br 79.90 Br.upf
Rb 85.47 Rb.upf
Sn 118.71 Sn.upf
ATOMIC_POSITIONS crystal
Br 0.934 0.431 0.569
Rb 0.606 0.014 0.986
Br 0.748 0.268 0.732
Br 0.066 0.569 0.431
Br 0.252 0.732 0.268
Sn 0.081 0.046 0.954
Br 0.612 0.201 0.799
Br 0.388 0.799 0.201
Rb 0.394 0.986 0.014
Sn 0.919 0.954 0.046
CELL_PARAMETERS angstrom
-17.149 -5.347 9.613
-9.359 0.111 0.827
6.996 -1.832 -5.998

[4]
! RbSnBr5 (GGA-PBE, relaxed); values from VASP
! ΔE to the lowest computed polymorph = 0 meV per atom
! energy relative to the elements, uncorrected = -0.935 eV per atom
&SYSTEM
  ibrav = 0, nat = 14, ntyp = 3
/
ATOMIC_SPECIES
Rb 85.47 Rb.upf
Br 79.90 Br.upf
Sn 118.71 Sn.upf
ATOMIC_POSITIONS crystal
Rb 0.528 0.472 0.750
Br 0.636 0.095 0.036
Br 0.907 0.093 0.250
Br 0.093 0.907 0.750
Br 0.637 0.091 0.602
Br 0.364 0.905 0.964
Br 0.095 0.636 0.536
Br 0.091 0.637 0.102
Sn 0.000 0.000 0.500
Rb 0.472 0.528 0.250
Br 0.363 0.909 0.398
Sn 0.000 0.000 0.000
Br 0.909 0.363 0.898
Br 0.905 0.364 0.464
CELL_PARAMETERS angstrom
-5.802 5.678 -1.937
-8.133 -1.069 1.538
-2.741 5.551 8.940

[5]
! Rb3SnBr4 (GGA-PBE, relaxed); values from VASP
! energy relative to the elements, uncorrected = -1.289 eV per atom
&SYSTEM
  ibrav = 0, nat = 16, ntyp = 3
/
ATOMIC_SPECIES
Rb 85.47 Rb.upf
Br 79.90 Br.upf
Sn 118.71 Sn.upf
ATOMIC_POSITIONS crystal
Rb 0.564 0.250 0.250
Br 0.564 0.750 0.270
Rb 0.564 0.250 0.750
Rb 0.064 0.750 0.750
Br 0.064 0.250 0.770
Br 0.564 0.750 0.730
Br 0.064 0.250 0.230
Br 0.565 0.251 0.000
Br 0.064 0.755 0.000
Rb 0.064 0.249 0.500
Br 0.564 0.245 0.500
Sn 0.064 0.252 0.000
Rb 0.064 0.750 0.250
Br 0.065 0.749 0.500
Rb 0.564 0.751 0.000
Sn 0.564 0.748 0.500
CELL_PARAMETERS angstrom
-3.528 -5.755 1.484
5.942 -3.471 0.666
0.375 3.175 13.209

[6]
! RbSnBr3 (GGA-PBE, relaxed); values from VASP
! energy relative to the elements, uncorrected = -1.054 eV per atom
&SYSTEM
  ibrav = 0, nat = 10, ntyp = 3
/
ATOMIC_SPECIES
Br 79.90 Br.upf
Sn 118.71 Sn.upf
Rb 85.47 Rb.upf
ATOMIC_POSITIONS crystal
Br 0.333 0.667 0.445
Br 0.000 0.000 0.250
Sn 0.000 0.000 0.000
Br 0.667 0.333 0.555
Rb 0.667 0.333 0.250
Br 0.333 0.667 0.055
Sn 0.000 0.000 0.500
Br 0.000 0.000 0.750
Br 0.667 0.333 0.945
Rb 0.333 0.667 0.750
CELL_PARAMETERS angstrom
-4.538 -0.230 -3.333
-0.349 -1.712 5.357
-3.055 11.215 3.386

[7]
! RbSnBr3 (GGA-PBE, relaxed); values from VASP
! energy relative to the elements, uncorrected = -1.146 eV per atom
&SYSTEM
  ibrav = 0, nat = 5, ntyp = 3
/
ATOMIC_SPECIES
Br 79.90 Br.upf
Sn 118.71 Sn.upf
Rb 85.47 Rb.upf
ATOMIC_POSITIONS crystal
Br 0.280 0.850 0.850
Br 0.850 0.280 0.850
Sn 0.104 0.104 0.104
Rb 0.791 0.791 0.791
Br 0.850 0.850 0.280
CELL_PARAMETERS angstrom
0.947 6.362 2.431
6.081 -1.035 3.040
4.011 2.368 -5.059

[8]
! Rb2SnBr3 (GGA-PBE, relaxed); values from VASP
! energy relative to the elements, uncorrected = -1.135 eV per atom
&SYSTEM
  ibrav = 0, nat = 12, ntyp = 3
/
ATOMIC_SPECIES
Br 79.90 Br.upf
Sn 118.71 Sn.upf
Rb 85.47 Rb.upf
ATOMIC_POSITIONS crystal
Br 0.144 0.072 0.287
Br 0.496 0.250 0.000
Sn 0.999 0.250 0.000
Rb 0.328 0.914 0.657
Rb 0.672 0.086 0.343
Br 0.856 0.928 0.713
Br 0.143 0.572 0.287
Rb 0.329 0.414 0.657
Br 0.504 0.750 0.000
Sn 0.001 0.750 0.000
Br 0.857 0.428 0.713
Rb 0.671 0.586 0.343
CELL_PARAMETERS angstrom
-2.812 0.601 -6.190
-9.363 -0.609 4.195
3.619 6.556 2.756

[9]
! Rb4SnBr6 (GGA-PBE, relaxed); values from VASP
! energy relative to the elements, uncorrected = -1.500 eV per atom
&SYSTEM
  ibrav = 0, nat = 22, ntyp = 3
/
ATOMIC_SPECIES
Rb 85.47 Rb.upf
Sn 118.71 Sn.upf
Br 79.90 Br.upf
ATOMIC_POSITIONS crystal
Rb 0.250 0.630 0.130
Sn 0.500 0.500 0.500
Br 0.942 0.072 0.700
Br 0.058 0.928 0.300
Br 0.072 0.300 0.058
Rb 0.130 0.750 0.630
Rb 0.630 0.870 0.750
Sn 0.000 0.000 0.000
Rb 0.370 0.130 0.250
Rb 0.250 0.250 0.750
Rb 0.870 0.250 0.370
Br 0.558 0.200 0.572
Rb 0.750 0.750 0.250
Br 0.572 0.442 0.200
Br 0.442 0.800 0.428
Br 0.928 0.700 0.942
Br 0.428 0.558 0.800
Br 0.700 0.058 0.072
Br 0.300 0.942 0.928
Rb 0.750 0.370 0.870
Br 0.200 0.428 0.442
Br 0.800 0.572 0.558
CELL_PARAMETERS angstrom
-4.888 7.254 -3.947
-8.269 -4.506 1.845
-0.395 4.327 8.556

[10]
! RbSnBr3 (GGA-PBE, relaxed); values from VASP
! energy relative to the elements, uncorrected = -1.094 eV per atom
&SYSTEM
  ibrav = 0, nat = 5, ntyp = 3
/
ATOMIC_SPECIES
Br 79.90 Br.upf
Sn 118.71 Sn.upf
Rb 85.47 Rb.upf
ATOMIC_POSITIONS crystal
Br 0.500 0.232 0.355
Br 0.500 0.645 0.768
Br 0.000 0.242 0.758
Sn 0.000 0.439 0.561
Rb 0.500 0.069 0.931
CELL_PARAMETERS angstrom
-1.145 2.127 3.911
-7.233 2.444 -3.448
-0.981 -7.425 3.752

[11]
! RbSn2Br2 (GGA-PBE, relaxed); values from VASP
! ΔE to the lowest computed polymorph = 121 meV per atom
! energy relative to the elements, uncorrected = -0.313 eV per atom
&SYSTEM
  ibrav = 0, nat = 10, ntyp = 3
/
ATOMIC_SPECIES
Rb 85.47 Rb.upf
Br 79.90 Br.upf
Sn 118.71 Sn.upf
ATOMIC_POSITIONS crystal
Rb 0.500 0.500 0.000
Br 0.170 0.670 0.500
Sn 0.102 0.398 0.000
Br 0.670 0.830 0.500
Br 0.330 0.170 0.500
Rb 0.000 0.000 0.000
Sn 0.898 0.602 0.000
Br 0.830 0.330 0.500
Sn 0.398 0.898 0.000
Sn 0.602 0.102 0.000
CELL_PARAMETERS angstrom
-6.138 7.373 -1.054
-5.919 -3.999 6.491
1.866 1.970 2.915

[12]
! Rb3Sn2Br9 (GGA-PBE, relaxed); values from VASP
! energy relative to the elements, uncorrected = -1.172 eV per atom
&SYSTEM
  ibrav = 0, nat = 14, ntyp = 3
/
ATOMIC_SPECIES
Rb 85.47 Rb.upf
Sn 118.71 Sn.upf
Br 79.90 Br.upf
ATOMIC_POSITIONS crystal
Rb 0.667 0.333 0.649
Sn 0.667 0.333 0.181
Br 0.500 0.500 0.000
Rb 0.000 0.000 0.000
Br 0.830 0.660 0.331
Br 0.000 0.500 0.000
Br 0.170 0.830 0.669
Sn 0.333 0.667 0.819
Br 0.830 0.170 0.331
Br 0.340 0.170 0.331
Br 0.660 0.830 0.669
Br 0.170 0.340 0.669
Rb 0.333 0.667 0.351
Br 0.500 0.000 0.000
CELL_PARAMETERS angstrom
-2.166 -3.051 -6.954
4.021 -4.414 5.167
-8.369 -3.022 3.933

[13]
! RbSnBr3 (GGA-PBE, relaxed); values from VASP
! energy relative to the elements, uncorrected = -1.158 eV per atom
&SYSTEM
  ibrav = 0, nat = 20, ntyp = 3
/
ATOMIC_SPECIES
Rb 85.47 Rb.upf
Br 79.90 Br.upf
Sn 118.71 Sn.upf
ATOMIC_POSITIONS crystal
Rb 0.610 0.273 0.568
Br 0.586 0.780 0.137
Br 0.839 0.986 0.523
Sn 0.855 0.659 0.306
Sn 0.355 0.841 0.806
Br 0.414 0.220 0.863
Rb 0.890 0.773 0.932
Br 0.291 0.235 0.215
Br 0.161 0.014 0.477
Br 0.209 0.735 0.285
Br 0.914 0.280 0.363
Br 0.661 0.486 0.977
Br 0.339 0.514 0.023
Sn 0.145 0.341 0.694
Br 0.709 0.765 0.785
Br 0.791 0.265 0.715
Rb 0.390 0.727 0.432
Sn 0.645 0.159 0.194
Br 0.086 0.720 0.637
Rb 0.110 0.227 0.068
CELL_PARAMETERS angstrom
-7.907 -14.734 22.044
5.371 -4.026 -0.765
5.300 8.109 -5.474

[14]
! Rb4Sn3Br10 (GGA-PBE, relaxed); values from VASP
! energy relative to the elements, uncorrected = -1.234 eV per atom
&SYSTEM
  ibrav = 0, nat = 17, ntyp = 3
/
ATOMIC_SPECIES
Rb 85.47 Rb.upf
Sn 118.71 Sn.upf
Br 79.90 Br.upf
ATOMIC_POSITIONS crystal
Rb 0.567 0.567 0.134
Sn 0.147 0.147 0.293
Rb 0.433 0.433 0.866
Rb 0.699 0.699 0.399
Rb 0.301 0.301 0.601
Sn 0.000 0.000 0.000
Br 0.144 0.644 0.289
Br 0.072 0.072 0.144
Br 0.500 0.000 0.000
Br 0.356 0.856 0.711
Br 0.783 0.783 0.567
Br 0.644 0.144 0.289
Sn 0.853 0.853 0.707
Br 0.000 0.500 0.000
Br 0.928 0.928 0.856
Br 0.217 0.217 0.433
Br 0.856 0.356 0.711
CELL_PARAMETERS angstrom
-2.690 -3.480 -3.898
4.218 1.142 -3.930
9.929 -14.766 10.762

[15]
! RbSnBr3 (GGA-PBE, relaxed); values from VASP
! energy relative to the elements, uncorrected = -0.691 eV per atom
&SYSTEM
  ibrav = 0, nat = 10, ntyp = 3
/
ATOMIC_SPECIES
Br 79.90 Br.upf
Sn 118.71 Sn.upf
Rb 85.47 Rb.upf
ATOMIC_POSITIONS crystal
Br 0.124 0.374 0.751
Sn 0.679 0.179 0.641
Br 0.704 0.704 0.591
Br 0.125 0.876 0.249
Rb 0.000 0.000 0.000
Br 0.124 0.875 0.751
Br 0.626 0.876 0.249
Sn 0.821 0.321 0.359
Rb 0.250 0.750 0.500
Br 0.296 0.296 0.409
CELL_PARAMETERS angstrom
6.077 0.000 0.000
0.000 6.077 0.000
3.038 3.038 11.948

[16]
! RbSn2Br (GGA-PBE, relaxed); values from VASP
! ΔE to the lowest computed polymorph = 666 meV per atom
! energy relative to the elements, uncorrected = 0.219 eV per atom
&SYSTEM
  ibrav = 0, nat = 4, ntyp = 3
/
ATOMIC_SPECIES
Sn 118.71 Sn.upf
Rb 85.47 Rb.upf
Br 79.90 Br.upf
ATOMIC_POSITIONS crystal
Sn 0.250 0.250 0.250
Rb 0.500 0.500 0.500
Br 0.000 0.000 0.000
Sn 0.750 0.750 0.750
CELL_PARAMETERS angstrom
0.000 4.090 4.090
4.090 0.000 4.090
4.090 4.090 0.000

[17]
! RbSnBr3 (GGA-PBE, relaxed); values from VASP
! energy relative to the elements, uncorrected = -0.915 eV per atom
&SYSTEM
  ibrav = 0, nat = 10, ntyp = 3
/
ATOMIC_SPECIES
Br 79.90 Br.upf
Rb 85.47 Rb.upf
Sn 118.71 Sn.upf
ATOMIC_POSITIONS crystal
Br 0.629 0.889 0.223
Rb 0.855 0.355 0.290
Sn 0.000 0.000 0.000
Br 0.148 0.889 0.223
Br 0.111 0.852 0.777
Br 0.289 0.289 0.422
Br 0.111 0.371 0.777
Sn 0.250 0.750 0.500
Br 0.711 0.711 0.578
Rb 0.645 0.145 0.710
CELL_PARAMETERS angstrom
6.737 0.000 0.000
0.000 6.737 0.000
3.369 3.369 9.664

[18]
! RbSnBr3 (GGA-PBE, relaxed); values from VASP
! energy relative to the elements, uncorrected = -1.165 eV per atom
&SYSTEM
  ibrav = 0, nat = 20, ntyp = 3
/
ATOMIC_SPECIES
Br 79.90 Br.upf
Rb 85.47 Rb.upf
Sn 118.71 Sn.upf
ATOMIC_POSITIONS crystal
Br 0.869 0.250 0.720
Rb 0.000 0.500 0.500
Sn 0.990 0.750 0.996
Rb 0.500 0.500 0.000
Br 0.658 0.577 0.639
Br 0.631 0.750 0.220
Br 0.369 0.250 0.780
Sn 0.010 0.250 0.004
Br 0.131 0.750 0.280
Br 0.658 0.923 0.639
Br 0.842 0.423 0.139
Rb 0.500 0.000 0.000
Br 0.342 0.423 0.361
Sn 0.490 0.750 0.504
Br 0.158 0.577 0.861
Br 0.342 0.077 0.361
Br 0.842 0.077 0.139
Sn 0.510 0.250 0.496
Br 0.158 0.923 0.861
Rb 0.000 0.000 0.500
CELL_PARAMETERS angstrom
9.247 0.000 0.000
0.000 11.147 0.000
0.000 0.000 8.378

[19]
! Rb2SnBr5 (GGA-PBE, relaxed); values from VASP
! ΔE to the lowest computed polymorph = 0 meV per atom
! energy relative to the elements, uncorrected = -1.203 eV per atom
&SYSTEM
  ibrav = 0, nat = 8, ntyp = 3
/
ATOMIC_SPECIES
Br 79.90 Br.upf
Rb 85.47 Rb.upf
Sn 118.71 Sn.upf
ATOMIC_POSITIONS crystal
Br 0.499 0.028 0.028
Br 0.318 0.325 0.351
Br 0.051 0.766 0.202
Rb 0.566 0.732 0.266
Rb 0.624 0.324 0.790
Br 0.697 0.731 0.705
Br 0.138 0.289 0.853
Sn 0.109 0.028 0.028
CELL_PARAMETERS angstrom
6.276 -0.005 -2.690
-4.246 7.075 -1.256
-0.006 -0.332 8.652

[20]
! RbSnBr3 (GGA-PBE, relaxed); values from VASP
! energy relative to the elements, uncorrected = -1.175 eV per atom
&SYSTEM
  ibrav = 0, nat = 10, ntyp = 3
/
ATOMIC_SPECIES
Sn 118.71 Sn.upf
Br 79.90 Br.upf
Rb 85.47 Rb.upf
ATOMIC_POSITIONS crystal
Sn 0.756 0.654 0.844
Br 0.746 0.206 0.847
Rb 0.763 0.381 0.268
Br 0.010 0.559 0.628
Rb 0.264 0.043 0.593
Br 0.508 0.559 0.620
Br 0.248 0.291 0.014
Sn 0.257 0.742 0.017
Br 0.511 0.863 0.235
Br 0.009 0.869 0.238
CELL_PARAMETERS angstrom
-7.799 -2.339 -0.257
0.720 -1.569 -5.833
1.885 -6.848 5.244